[1]
DFT (PBE) results for a relaxed structure of Tb4Sm3Sc.

abc: 8.678 8.678 9.053
angles: 118.64 118.64 90.00
Positions (direct):
Sc (0.000, 0.000, 0.000)
Sc (0.500, 0.500, 0.000)
Tb (0.490, 0.990, 0.676)
Tb (0.186, 0.686, 0.676)
Tb (0.686, 0.490, 0.676)
Tb (0.990, 0.186, 0.676)
Tb (0.510, 0.010, 0.324)
Tb (0.814, 0.314, 0.324)
Tb (0.314, 0.510, 0.324)
Tb (0.010, 0.814, 0.324)
Sm (0.750, 0.750, 0.500)
Sm (0.250, 0.250, 0.500)
Sm (0.854, 0.354, 0.000)
Sm (0.146, 0.646, 0.000)
Sm (0.646, 0.854, 0.000)
Sm (0.354, 0.146, 0.000)

Summary:
Polymorph energy (0 for the lowest one) ... 51 meV/atom
Space group ... No. 140

=====

[2]
DFT (PBE) results for a relaxed structure of TiCu2Au2.

abc: 4.805 4.805 6.168
angles: 50.24 50.24 48.57
Positions (direct):
Ti (0.000, 0.500, 0.000)
Cu (0.607, 0.107, 0.194)
Cu (0.393, 0.893, 0.806)
Au (0.209, 0.709, 0.382)
Au (0.791, 0.291, 0.618)

Summary:
Polymorph energy (0 for the lowest one) ... 4 meV/atom
Space group ... No. 12

=====

[3]
DFT (PBE) results for a relaxed structure of LaGdRuAu.

abc: 5.096 5.096 5.096
angles: 60.00 60.00 60.00
Positions (direct):
Ru (0.750, 0.750, 0.750)
Gd (0.000, 0.000, 0.000)
Au (0.250, 0.250, 0.250)
La (0.500, 0.500, 0.500)

Summary:
Raw total energy ... -33.5 eV per cell
Space group ... No. 216